1.
Computed, not measured: PaGaS after structural relaxation at the PBE level of DFT.

Lattice parameters (Å, degrees): 3.8791 3.8791 16.0617 90.00 90.00 90.00
Closest atoms and distances in Å follow each position.
Sites, in units of the cell vectors:
Pa 0.0000 0.0000 0.1503  5 S 2.77-2.79, 4 Ga 3.10
Pa 0.0000 0.0000 0.8497  5 S 2.77-2.79, 4 Ga 3.10
Pa 0.5000 0.5000 0.3497  5 S 2.77-2.79, 4 Ga 3.10
Pa 0.5000 0.5000 0.6503  5 S 2.77-2.79, 4 Ga 3.10
Ga 0.0000 0.5000 0.0000  4 Ga 2.74
Ga 0.0000 0.5000 0.5000  4 Ga 2.74
Ga 0.5000 0.0000 0.0000  4 Ga 2.74
Ga 0.5000 0.0000 0.5000  4 Ga 2.74
S 0.0000 0.0000 0.3241  5 Pa 2.77-2.79
S 0.0000 0.0000 0.6759  5 Pa 2.77-2.79
S 0.5000 0.5000 0.1759  5 Pa 2.77-2.79
S 0.5000 0.5000 0.8241  5 Pa 2.77-2.79

final energy = -6.625 eV/atom
formation energy (no corrections) = -3.22 eV per formula unit
crystal system = tetragonal
relative energy among the computed polymorphs = 0.00 eV per formula unit

---

2.
Computed, not measured: PaGaS2 after structural relaxation at the PBE level of DFT.

Lattice parameters (Å, degrees): 3.5271 3.5271 24.4515 90.00 90.00 120.00
Closest atoms and distances in Å follow each position.
Sites, in units of the cell vectors:
Pa 0.0000 0.0000 0.0000  2 S 2.64
Pa 0.3333 0.6667 0.6667  2 S 2.64
Pa 0.6667 0.3333 0.3333  2 S 2.64
Ga 0.0000 0.0000 0.5000  6 S 2.49
Ga 0.3333 0.6667 0.1667  6 S 2.49
Ga 0.6667 0.3333 0.8333  6 S 2.49
S 0.0000 0.0000 0.1080  3 Ga 2.49, 1 Pa 2.64
S 0.0000 0.0000 0.8920  3 Ga 2.49, 1 Pa 2.64
S 0.3333 0.6667 0.5587  3 Ga 2.49, 1 Pa 2.64
S 0.3333 0.6667 0.7747  3 Ga 2.49, 1 Pa 2.64
S 0.6667 0.3333 0.2253  3 Ga 2.49, 1 Pa 2.64
S 0.6667 0.3333 0.4413  3 Ga 2.49, 1 Pa 2.64

final energy = -5.616 eV/atom
formation energy (no corrections) = -1.69 eV per formula unit
crystal system = trigonal
relative energy among the computed polymorphs = 2.19 eV per formula unit

---

3.
Computed, not measured: Pa3Ga5S12 after structural relaxation at the PBE level of DFT.

Lattice parameters (Å, degrees): 13.1228 13.1228 13.1228 109.47 109.47 109.47
Closest atoms and distances in Å follow each position.
Sites, in units of the cell vectors:
Pa 0.1250 0.2500 0.3750  8 S 2.86-2.89
Pa 0.1250 0.3750 0.7500  8 S 2.86-2.89
Pa 0.2500 0.3750 0.1250  8 S 2.86-2.89
Pa 0.2500 0.8750 0.6250  8 S 2.86-2.89
Pa 0.3750 0.1250 0.2500  8 S 2.86-2.89
Pa 0.3750 0.7500 0.1250  8 S 2.86-2.89
Pa 0.6250 0.2500 0.8750  8 S 2.86-2.89
Pa 0.6250 0.8750 0.7500  8 S 2.86-2.89
Pa 0.7500 0.1250 0.3750  8 S 2.86-2.89
Pa 0.7500 0.6250 0.8750  8 S 2.86-2.89
Pa 0.8750 0.6250 0.2500  8 S 2.86-2.89
Pa 0.8750 0.7500 0.6250  8 S 2.86-2.89
Ga 0.0000 0.0000 0.0000  6 S 2.55
Ga 0.0000 0.0000 0.5000  6 S 2.55
Ga 0.0000 0.5000 0.0000  6 S 2.55
Ga 0.0000 0.5000 0.5000  6 S 2.55
Ga 0.1250 0.7500 0.8750  4 S 2.31
Ga 0.1250 0.8750 0.2500  4 S 2.31
Ga 0.2500 0.1250 0.8750  4 S 2.31
Ga 0.2500 0.6250 0.3750  4 S 2.31
Ga 0.3750 0.2500 0.6250  4 S 2.31
Ga 0.3750 0.6250 0.7500  4 S 2.31
Ga 0.5000 0.0000 0.0000  6 S 2.55
Ga 0.5000 0.0000 0.5000  6 S 2.55
Ga 0.5000 0.5000 0.0000  6 S 2.55
Ga 0.5000 0.5000 0.5000  6 S 2.55
Ga 0.6250 0.3750 0.2500  4 S 2.31
Ga 0.6250 0.7500 0.3750  4 S 2.31
Ga 0.7500 0.3750 0.6250  4 S 2.31
Ga 0.7500 0.8750 0.1250  4 S 2.31
Ga 0.8750 0.1250 0.7500  4 S 2.31
Ga 0.8750 0.2500 0.1250  4 S 2.31
S 0.0383 0.2167 0.1294  2 Ga 2.31-2.55
S 0.0383 0.3216 0.9089  2 Ga 2.31-2.55
S 0.0873 0.7167 0.6784  2 Ga 2.31-2.55
S 0.0873 0.8706 0.4089  2 Ga 2.31-2.55
S 0.0911 0.6294 0.4127  2 Ga 2.31-2.55
S 0.0911 0.9617 0.6784  2 Ga 2.31-2.55
S 0.1294 0.0383 0.2167  2 Ga 2.31-2.55
S 0.1294 0.5911 0.9127  2 Ga 2.31-2.55
S 0.1784 0.2167 0.5873  2 Ga 2.31-2.55
S 0.1784 0.4617 0.5911  2 Ga 2.31-2.55
S 0.2167 0.1294 0.0383  2 Ga 2.31-2.55
S 0.2167 0.5873 0.1784  2 Ga 2.31-2.55
S 0.2833 0.3216 0.9127  2 Ga 2.31-2.55
S 0.2833 0.4617 0.3706  2 Ga 2.31-2.55
S 0.3216 0.9089 0.0383  2 Ga 2.31-2.55
S 0.3216 0.9127 0.2833  2 Ga 2.31-2.55
S 0.3706 0.2833 0.4617  2 Ga 2.31-2.55
S 0.3706 0.5873 0.9089  2 Ga 2.31-2.55
S 0.4089 0.0873 0.8706  2 Ga 2.31-2.55
S 0.4089 0.8216 0.5383  2 Ga 2.31-2.55
S 0.4127 0.0911 0.6294  2 Ga 2.31-2.55
S 0.4127 0.8216 0.7833  2 Ga 2.31-2.55
S 0.4617 0.3706 0.2833  2 Ga 2.31-2.55
S 0.4617 0.5911 0.1784  2 Ga 2.31-2.55
S 0.5383 0.4089 0.8216  2 Ga 2.31-2.55
S 0.5383 0.6294 0.7167  2 Ga 2.31-2.55
S 0.5873 0.1784 0.2167  2 Ga 2.31-2.55
S 0.5873 0.9089 0.3706  2 Ga 2.31-2.55
S 0.5911 0.1784 0.4617  2 Ga 2.31-2.55
S 0.5911 0.9127 0.1294  2 Ga 2.31-2.55
S 0.6294 0.4127 0.0911  2 Ga 2.31-2.55
S 0.6294 0.7167 0.5383  2 Ga 2.31-2.55
S 0.6784 0.0873 0.7167  2 Ga 2.31-2.55
S 0.6784 0.0911 0.9617  2 Ga 2.31-2.55
S 0.7167 0.5383 0.6294  2 Ga 2.31-2.55
S 0.7167 0.6784 0.0873  2 Ga 2.31-2.55
S 0.7833 0.4127 0.8216  2 Ga 2.31-2.55
S 0.7833 0.8706 0.9617  2 Ga 2.31-2.55
S 0.8216 0.5383 0.4089  2 Ga 2.31-2.55
S 0.8216 0.7833 0.4127  2 Ga 2.31-2.55
S 0.8706 0.4089 0.0873  2 Ga 2.31-2.55
S 0.8706 0.9617 0.7833  2 Ga 2.31-2.55
S 0.9089 0.0383 0.3216  2 Ga 2.31-2.55
S 0.9089 0.3706 0.5873  2 Ga 2.31-2.55
S 0.9127 0.1294 0.5911  2 Ga 2.31-2.55
S 0.9127 0.2833 0.3216  2 Ga 2.31-2.55
S 0.9617 0.6784 0.0911  2 Ga 2.31-2.55
S 0.9617 0.7833 0.8706  2 Ga 2.31-2.55

final energy = -5.633 eV/atom
formation energy (no corrections) = -19.51 eV per formula unit
crystal system = cubic

---

4.
Computed, not measured: PaGa2S8 after structural relaxation at the PBE level of DFT.

Lattice parameters (Å, degrees): 6.7890 6.7890 6.7827 90.00 90.00 120.00
Closest atoms and distances in Å follow each position.
Sites, in units of the cell vectors:
Pa 0.0000 0.0000 0.0000  6 S 2.59
Ga 0.3333 0.6667 0.5853  4 S 2.23-2.27
Ga 0.6667 0.3333 0.4147  4 S 2.23-2.27
S 0.1616 0.3233 0.7396  1 Ga 2.27
S 0.1616 0.8384 0.7396  1 Ga 2.27
S 0.3233 0.1616 0.2604  1 Ga 2.27
S 0.3333 0.6667 0.2569  1 Ga 2.23
S 0.6667 0.3333 0.7431  1 Ga 2.23
S 0.6767 0.8384 0.7396  1 Ga 2.27
S 0.8384 0.1616 0.2604  1 Ga 2.27
S 0.8384 0.6767 0.2604  1 Ga 2.27

final energy = -4.586 eV/atom
formation energy (no corrections) = -1.87 eV per formula unit
crystal system = trigonal

---

5.
Computed, not measured: PaGa2S6 after structural relaxation at the PBE level of DFT.

Lattice parameters (Å, degrees): 8.3704 8.3704 6.8331 98.81 98.81 88.71
Closest atoms and distances in Å follow each position.
Sites, in units of the cell vectors:
Pa 0.1081 0.8919 0.7500  6 S 2.54-2.73
Pa 0.8919 0.1081 0.2500  6 S 2.54-2.73
Ga 0.2469 0.3957 0.6978  4 S 2.28-2.34
Ga 0.3957 0.2469 0.1978  4 S 2.28-2.34
Ga 0.6043 0.7531 0.8022  4 S 2.28-2.34
Ga 0.7531 0.6043 0.3022  4 S 2.28-2.34
S 0.0573 0.1859 0.6235  1 Ga 2.34
S 0.0981 0.6052 0.8282  1 Ga 2.28, 1 Pa 2.54
S 0.1859 0.0573 0.1235  1 Ga 2.34
S 0.3323 0.4678 0.4170  2 Ga 2.30-2.31
S 0.3948 0.9019 0.6718  1 Ga 2.28, 1 Pa 2.54
S 0.4678 0.3323 0.9170  2 Ga 2.30-2.31
S 0.5322 0.6677 0.0830  2 Ga 2.30-2.31
S 0.6052 0.0981 0.3282  1 Ga 2.28, 1 Pa 2.54
S 0.6677 0.5322 0.5830  2 Ga 2.30-2.31
S 0.8141 0.9427 0.8765  1 Ga 2.34
S 0.9019 0.3948 0.1718  1 Ga 2.28, 1 Pa 2.54
S 0.9427 0.8141 0.3765  1 Ga 2.34

final energy = -5.276 eV/atom
formation energy (no corrections) = -7.17 eV per formula unit
crystal system = monoclinic

---

6.
Computed, not measured: PaGaS after structural relaxation at the PBE level of DFT.

Lattice parameters (Å, degrees): 8.5336 8.5336 8.5336 30.60 30.60 30.60
Closest atoms and distances in Å follow each position.
Sites, in units of the cell vectors:
Pa 0.2322 0.2322 0.2322  4 S 2.63-2.78
Pa 0.7678 0.7678 0.7678  4 S 2.63-2.78
Ga 0.3576 0.3576 0.3576  3 Ga 2.86, 1 Pa 3.06
Ga 0.6424 0.6424 0.6424  3 Ga 2.86, 1 Pa 3.06
S 0.1182 0.1182 0.1182  4 Pa 2.63-2.78
S 0.8818 0.8818 0.8818  4 Pa 2.63-2.78

final energy = -6.361 eV/atom
formation energy (no corrections) = -2.43 eV per formula unit
crystal system = trigonal
relative energy among the computed polymorphs = 0.79 eV per formula unit

---

7.
Computed, not measured: PaGaS2 after structural relaxation at the PBE level of DFT.

Lattice parameters (Å, degrees): 3.8395 3.8395 22.8175 90.00 90.00 120.00
Closest atoms and distances in Å follow each position.
Sites, in units of the cell vectors:
Pa 0.0000 0.0000 0.0000  6 S 2.76-2.77
Pa 0.3333 0.6667 0.6667  6 S 2.76-2.77
Pa 0.6667 0.3333 0.3333  6 S 2.76-2.77
Ga 0.0000 0.0000 0.8339  6 S 3.08-3.10
Ga 0.3333 0.6667 0.5005  6 S 3.08-3.10
Ga 0.6667 0.3333 0.1672  6 S 3.08-3.10
S 0.0000 0.0000 0.4055  3 Pa 2.76
S 0.0000 0.0000 0.5941  3 Pa 2.77, 3 Ga 3.08
S 0.3333 0.6667 0.0722  3 Pa 2.76
S 0.3333 0.6667 0.2608  3 Pa 2.77, 3 Ga 3.08
S 0.6667 0.3333 0.7388  3 Pa 2.76
S 0.6667 0.3333 0.9274  3 Pa 2.77, 3 Ga 3.08

final energy = -6.163 eV/atom
formation energy (no corrections) = -3.88 eV per formula unit
crystal system = trigonal
relative energy among the computed polymorphs = 0.00 eV per formula unit

---

8.
Computed, not measured: PaGaSb after structural relaxation at the PBE level of DFT.

Lattice parameters (Å, degrees): 4.3946 4.3946 15.2088 90.00 90.00 90.00
Closest atoms and distances in Å follow each position.
Sites, in units of the cell vectors:
Pa 0.0000 0.0000 0.1372  4 Ga 3.03, 5 Sb 3.12-3.14
Pa 0.0000 0.0000 0.8628  4 Ga 3.03, 5 Sb 3.12-3.14
Pa 0.5000 0.5000 0.3628  4 Ga 3.03, 5 Sb 3.12-3.14
Pa 0.5000 0.5000 0.6372  4 Ga 3.03, 5 Sb 3.12-3.14
Ga 0.0000 0.5000 0.0000  4 Pa 3.03, 4 Ga 3.11, 4 Sb 3.24
Ga 0.0000 0.5000 0.5000  4 Pa 3.03, 4 Ga 3.11, 4 Sb 3.24
Ga 0.5000 0.0000 0.0000  4 Pa 3.03, 4 Ga 3.11, 4 Sb 3.24
Ga 0.5000 0.0000 0.5000  4 Pa 3.03, 4 Ga 3.11, 4 Sb 3.24
Sb 0.0000 0.0000 0.3438  5 Pa 3.12-3.14, 4 Ga 3.24
Sb 0.0000 0.0000 0.6562  5 Pa 3.12-3.14, 4 Ga 3.24
Sb 0.5000 0.5000 0.1562  5 Pa 3.12-3.14, 4 Ga 3.24
Sb 0.5000 0.5000 0.8438  5 Pa 3.12-3.14, 4 Ga 3.24

final energy = -6.005 eV/atom
formation energy (no corrections) = -1.37 eV per formula unit
crystal system = tetragonal
relative energy among the computed polymorphs = 0.00 eV per formula unit

---

9.
Computed, not measured: PaGaSb after structural relaxation at the PBE level of DFT.

Lattice parameters (Å, degrees): 9.8862 7.8755 7.6388 79.16 51.48 49.36
Closest atoms and distances in Å follow each position.
Sites, in units of the cell vectors:
Pa 0.0765 0.6735 0.0765  4 Ga 2.93-3.03, 4 Sb 3.09-3.26
Pa 0.3265 0.9235 0.3265  4 Ga 2.93-3.03, 4 Sb 3.09-3.26
Pa 0.6735 0.0765 0.6735  4 Ga 2.93-3.03, 4 Sb 3.09-3.26
Pa 0.9235 0.3265 0.9235  4 Ga 2.93-3.03, 4 Sb 3.09-3.26
Ga 0.0373 0.0373 0.2127  1 Ga 2.50
Ga 0.2127 0.2127 0.0373  1 Ga 2.50
Ga 0.7873 0.7873 0.9627  1 Ga 2.50
Ga 0.9627 0.9627 0.7873  1 Ga 2.50
Sb 0.0000 0.5000 0.5000  4 Pa 3.09-3.26, 2 Ga 3.10
Sb 0.5000 0.0000 0.5000  4 Pa 3.09-3.26, 2 Ga 3.10
Sb 0.5000 0.5000 0.0000  4 Pa 3.09-3.26, 2 Ga 3.10
Sb 0.5000 0.5000 0.5000  4 Pa 3.09-3.26, 2 Ga 3.10

final energy = -5.597 eV/atom
formation energy (no corrections) = -0.15 eV per formula unit
crystal system = orthorhombic
relative energy among the computed polymorphs = 1.22 eV per formula unit

---

10.
Computed, not measured: Pa3GaSb after structural relaxation at the PBE level of DFT.

Lattice parameters (Å, degrees): 7.0201 7.0201 5.8804 90.00 90.00 120.00
Closest atoms and distances in Å follow each position.
Sites, in units of the cell vectors:
Pa 0.2014 0.4028 0.2500  2 Pa 2.78, 2 Ga 2.86
Pa 0.2014 0.7986 0.2500  2 Pa 2.78, 2 Ga 2.86
Pa 0.4028 0.2014 0.7500  2 Pa 2.78, 2 Ga 2.86
Pa 0.5972 0.7986 0.2500  2 Pa 2.78, 2 Ga 2.86
Pa 0.7986 0.2014 0.7500  2 Pa 2.78, 2 Ga 2.86
Pa 0.7986 0.5972 0.7500  2 Pa 2.78, 2 Ga 2.86
Ga 0.0000 0.0000 0.0000  6 Pa 2.86, 2 Ga 2.94
Ga 0.0000 0.0000 0.5000  6 Pa 2.86, 2 Ga 2.94
Sb 0.3333 0.6667 0.7500  12 Pa 3.35-3.54
Sb 0.6667 0.3333 0.2500  12 Pa 3.35-3.54

final energy = -7.184 eV/atom
formation energy (no corrections) = -0.28 eV per formula unit
crystal system = hexagonal

---

11.
Computed, not measured: PaGaSb after structural relaxation at the PBE level of DFT.

Lattice parameters (Å, degrees): 3.7034 3.7034 10.2194 90.00 90.00 90.00
Closest atoms and distances in Å follow each position.
Sites, in units of the cell vectors:
Pa 0.0000 0.0000 0.0000  5 Ga 3.20-3.27, 5 Sb 3.21-3.26
Pa 0.5000 0.5000 0.5000  5 Ga 3.20-3.27, 5 Sb 3.21-3.26
Ga 0.0000 0.0000 0.6796  4 Sb 2.98, 5 Pa 3.20-3.27
Ga 0.5000 0.5000 0.1796  4 Sb 2.98, 5 Pa 3.20-3.27
Sb 0.0000 0.0000 0.3189  4 Ga 2.98, 5 Pa 3.21-3.26
Sb 0.5000 0.5000 0.8189  4 Ga 2.98, 5 Pa 3.21-3.26

final energy = -5.727 eV/atom
formation energy (no corrections) = -0.54 eV per formula unit
crystal system = tetragonal
relative energy among the computed polymorphs = 0.83 eV per formula unit